--- one ---
# PBE-GGA Hf2CrH, optimized geometry
# DOS(E_F) = 4.324 states/eV/f.u.
# Total magnetic moment = 0.001 Bohr magnetons per cell
data_Hf2CrH
_chemical_formula_sum 'Hf8 Cr4 H4'
_cell_length_a 6.231
_cell_length_b 6.231
_cell_length_c 6.231
_cell_angle_alpha 90.00
_cell_angle_beta 90.00
_cell_angle_gamma 90.00
_space_group_name_H-M_alt 'F m -3 m'
_space_group_IT_number 225
_space_group_name_Hall '-F 4 2 3'
loop_
_atom_site_label
_atom_site_type_symbol
_atom_site_fract_x
_atom_site_fract_y
_atom_site_fract_z
Hf1 Hf 0.250 0.250 0.250
Cr1 Cr 0.000 0.000 0.000
H1 H 0.000 0.000 0.500



--- two ---
# PBE-GGA Hf2CrH, optimized geometry
# DOS(E_F) = 4.687 states/eV/f.u.
# Total magnetic moment = 9.251 Bohr magnetons per cell
data_Hf2CrH
_chemical_formula_sum 'Hf8 Cr4 H4'
_cell_length_a 6.319
_cell_length_b 6.319
_cell_length_c 6.192
_cell_angle_alpha 90.00
_cell_angle_beta 90.00
_cell_angle_gamma 90.00
_space_group_name_H-M_alt 'I -4 2 d'
_space_group_IT_number 122
_space_group_name_Hall 'I -4 2bw'
loop_
_atom_site_label
_atom_site_type_symbol
_atom_site_fract_x
_atom_site_fract_y
_atom_site_fract_z
Hf1 Hf 0.169 0.250 0.125
Cr1 Cr 0.000 0.000 0.500
H1 H 0.000 0.000 0.000



Question: which arrangement is favored energetically? Ranking from most to least stable: two, one.